# ZnAg2SbS4

A relaxed structure of ZnAg2SbS4 (PBE-GGA, Alexandria via LeMat-Bulk).

It has space group I-4 (No. 82), with a = 5.8741 Å, b = 5.8741 Å, c = 11.2448 Å, α = 90.00°, β = 90.00° and γ = 90.00°. Symmetry generates all atoms from Zn at (0.0000, 0.0000, 0.0000), Ag at (0.0000, 0.0000, 0.5000), Ag at (0.0000, 0.5000, 0.7500), Sb at (0.0000, 0.5000, 0.2500) and S at (0.2349, 0.7636, 0.1184).

Its crystal system is tetragonal. Its raw total energy is -58.9 eV per cell. As for the uncorrected formation energy: -5.28 kcal/mol of atoms.